A relaxed structure of TaBe2Cd. Source: Alexandria via LeMat-Bulk, functional GGA-PBE.

Output
formation enthalpy at 0 K: 0.48 eV per atom
total energy: -4.5787 eV/atom

Cell and atoms, written as CIF:
```
data_TaBe2Cd
_chemical_formula_sum 'Ta2 Be4 Cd2'
_space_group_name_H-M_alt 'C 1 2/m 1'
_space_group_IT_number 12
_space_group_name_Hall '-C 2y'
_cell_length_a 7.654
_cell_length_b 2.810
_cell_length_c 5.500
_cell_angle_alpha 90.00
_cell_angle_beta 97.43
_cell_angle_gamma 90.00
loop_
_atom_site_label
_atom_site_fract_x
_atom_site_fract_y
_atom_site_fract_z
Ta1 0.000 0.000 0.000
Be1 0.249 0.000 0.754
Cd1 0.000 0.500 0.500
```



A relaxed structure of PrSm2Pd2. Source: Alexandria via LeMat-Bulk, functional GGA-PBE.

Output
formation enthalpy at 0 K: -0.47 eV per atom
total energy: -5.3936 eV/atom
energy above the most stable polymorph in this dataset: 168 meV per atom

Cell and atoms, written as CIF:
```
data_PrSm2Pd2
_chemical_formula_sum 'Pr2 Sm4 Pd4'
_space_group_name_H-M_alt 'C 1 2/m 1'
_space_group_IT_number 12
_space_group_name_Hall '-C 2y'
_cell_length_a 6.750
_cell_length_b 6.758
_cell_length_c 6.850
_cell_angle_alpha 90.00
_cell_angle_beta 118.65
_cell_angle_gamma 90.00
loop_
_atom_site_label
_atom_site_fract_x
_atom_site_fract_y
_atom_site_fract_z
Pr1 0.000 0.000 0.000
Sm1 0.000 0.251 0.500
Pd1 0.115 0.500 0.220
```



A relaxed structure of Ac4HoTm3Bi8. Source: Alexandria via LeMat-Bulk, functional GGA-PBE.

Output
formation enthalpy at 0 K: -0.88 eV per atom
total energy: -4.9724 eV/atom

Cell and atoms, written as CIF:
```
data_Ac4HoTm3Bi8
_chemical_formula_sum 'Ac12 Ho3 Tm9 Bi24'
_space_group_name_H-M_alt 'R -3 m'
_space_group_IT_number 166
_space_group_name_Hall '-R 3 2"'
_cell_length_a 9.3361
_cell_length_b 9.3361
_cell_length_c 22.7756
_cell_angle_alpha 90.00
_cell_angle_beta 90.00
_cell_angle_gamma 120.00
loop_
_atom_site_label
_atom_site_fract_x
_atom_site_fract_y
_atom_site_fract_z
Ac1 0.0000 0.0000 0.0000
Ac2 0.0000 0.5000 0.0000
Ho1 0.0000 0.0000 0.5000
Tm1 0.0000 0.5000 0.5000
Bi1 0.0000 0.0000 0.2412
Bi2 0.0008 0.5004 0.7585
```



A relaxed structure of CsCoCu2. Source: Alexandria via LeMat-Bulk, functional GGA-PBE.

Output
formation enthalpy at 0 K: 1.41 eV per atom
total energy: -2.6243 eV/atom

Cell and atoms, written as CIF:
```
data_CsCoCu2
_chemical_formula_sum 'Cs4 Co4 Cu8'
_space_group_name_H-M_alt 'F m -3 m'
_space_group_IT_number 225
_space_group_name_Hall '-F 4 2 3'
_cell_length_a 7.135
_cell_length_b 7.135
_cell_length_c 7.135
_cell_angle_alpha 90.00
_cell_angle_beta 90.00
_cell_angle_gamma 90.00
loop_
_atom_site_label
_atom_site_fract_x
_atom_site_fract_y
_atom_site_fract_z
Cs1 0.000 0.000 0.000
Co1 0.000 0.000 0.500
Cu1 0.250 0.250 0.250
```



A relaxed structure of AlTe2Se. Source: Alexandria via LeMat-Bulk, functional GGA-PBE.

Output
total energy: -3.3708 eV/atom
uncorrected formation energy: 0.027 eV per formula unit

Cell and atoms, written as CIF:
```
data_AlTe2Se
_chemical_formula_sum 'Al2 Te4 Se2'
_space_group_name_H-M_alt 'C 1 2/m 1'
_space_group_IT_number 12
_space_group_name_Hall '-C 2y'
_cell_length_a 12.232
_cell_length_b 3.760
_cell_length_c 4.957
_cell_angle_alpha 90.00
_cell_angle_beta 103.80
_cell_angle_gamma 90.00
loop_
_atom_site_label
_atom_site_fract_x
_atom_site_fract_y
_atom_site_fract_z
Al1 0.000 0.000 0.000
Te1 0.167 0.500 0.190
Se1 0.000 0.500 0.500
```



A relaxed structure of TmNi2Ge4. Source: Alexandria via LeMat-Bulk, functional GGA-PBE.

Output
formation enthalpy at 0 K: -0.41 eV per atom
total energy: -5.3430 eV/atom

Cell and atoms, written as CIF:
```
data_TmNi2Ge4
_chemical_formula_sum 'Tm4 Ni8 Ge16'
_space_group_name_H-M_alt 'P n m a'
_space_group_IT_number 62
_space_group_name_Hall '-P 2ac 2n'
_cell_length_a 17.042
_cell_length_b 4.080
_cell_length_c 6.601
_cell_angle_alpha 90.00
_cell_angle_beta 90.00
_cell_angle_gamma 90.00
loop_
_atom_site_label
_atom_site_fract_x
_atom_site_fract_y
_atom_site_fract_z
Tm1 0.140 0.250 0.010
Ni1 0.034 0.750 0.760
Ni2 0.212 0.250 0.475
Ge1 0.030 0.750 0.139
Ge2 0.065 0.250 0.517
Ge3 0.178 0.750 0.693
Ge4 0.201 0.750 0.279
```



A relaxed structure of SrAsPdO4. Source: Alexandria via LeMat-Bulk, functional GGA-PBE.

Output
total energy: -5.3429 eV/atom
uncorrected formation energy: -6.044 eV per formula unit

Cell and atoms, written as CIF:
```
data_SrAsPdO4
_chemical_formula_sum 'Sr4 As4 Pd4 O16'
_space_group_name_H-M_alt 'F -4 3 m'
_space_group_IT_number 216
_space_group_name_Hall 'F -4 2 3'
_cell_length_a 8.818
_cell_length_b 8.818
_cell_length_c 8.818
_cell_angle_alpha 90.00
_cell_angle_beta 90.00
_cell_angle_gamma 90.00
loop_
_atom_site_label
_atom_site_fract_x
_atom_site_fract_y
_atom_site_fract_z
Sr1 0.000 0.000 0.000
As1 0.000 0.000 0.500
Pd1 0.250 0.250 0.750
O1 0.112 0.112 0.612
```



A relaxed structure of K8Al. Source: Alexandria via LeMat-Bulk, functional GGA-PBE.

Output
formation enthalpy at 0 K: 0.15 eV per atom
total energy: -1.2442 eV/atom

Cell and atoms, written as CIF:
```
data_K8Al
_chemical_formula_sum 'K16 Al2'
_space_group_name_H-M_alt 'I 4/m m m'
_space_group_IT_number 139
_space_group_name_Hall '-I 4 2'
_cell_length_a 13.353
_cell_length_b 13.353
_cell_length_c 6.050
_cell_angle_alpha 90.00
_cell_angle_beta 90.00
_cell_angle_gamma 90.00
loop_
_atom_site_label
_atom_site_fract_x
_atom_site_fract_y
_atom_site_fract_z
K1 0.000 0.314 0.000
K2 0.148 0.148 0.500
Al1 0.000 0.000 0.000
```